MnTlNi2 | GGA-PBE | relaxed

Geometry as POSCAR:
```
MnTlNi2
1.0
2.877 -2.882 0.000
2.877 2.882 0.000
0.000 0.000 3.526
Mn Tl Ni
1 1 2
Direct
0.000 0.000 0.000
0.500 0.500 0.000
0.000 0.500 0.500
0.500 0.000 0.500
```

Polymorph energy (0 for the lowest one), kJ/mol of atoms: 3.65



ZrMnIr | GGA-PBE | relaxed

Geometry as POSCAR:
```
ZrMnIr
1.0
-1.616 1.616 4.820
1.616 -1.616 4.820
1.616 1.616 -4.820
Zr Mn Ir
1 1 1
Direct
0.000 0.000 0.000
0.321 0.321 0.000
0.668 0.668 0.000
```



Tl2NiRh | GGA-PBE | relaxed

Geometry as POSCAR:
```
Tl2NiRh
1.0
1.645 0.950 8.025
-1.645 0.950 8.025
0.000 -1.899 8.025
Tl Ni Rh
2 1 1
Direct
0.248 0.248 0.248
0.752 0.752 0.752
0.500 0.500 0.500
0.000 0.000 0.000
```

Polymorph energy (0 for the lowest one), kJ/mol of atoms: 8.72



ZnPb4 | GGA-PBE | relaxed

Geometry as POSCAR:
```
ZnPb4
1.0
-2.264 2.264 8.103
2.264 -2.264 8.103
2.264 2.264 -8.103
Zn Pb
1 4
Direct
0.000 0.000 0.000
0.250 0.750 0.500
0.402 0.402 0.000
0.598 0.598 0.000
0.750 0.250 0.500
```

Polymorph energy (0 for the lowest one), kJ/mol of atoms: 17.45



TbPm2Dy2Tm | GGA-PBE | relaxed

Geometry as POSCAR:
```
TbPm2Dy2Tm
1.0
6.994 0.000 0.000
0.000 5.636 0.000
0.000 0.000 9.758
Tb Pm Dy Tm
2 4 4 2
Direct
0.250 0.000 0.157
0.750 0.000 0.843
0.000 0.000 0.500
0.250 0.500 0.678
0.500 0.000 0.500
0.750 0.500 0.322
0.250 0.000 0.830
0.250 0.500 0.337
0.750 0.000 0.170
0.750 0.500 0.663
0.000 0.500 0.000
0.500 0.500 0.000
```



NdSm4Ho8 | GGA-PBE | relaxed

Geometry as POSCAR:
```
NdSm4Ho8
1.0
7.788 0.000 0.000
0.000 7.788 0.000
0.000 0.000 7.788
Nd Sm Ho
1 4 8
Direct
0.000 0.000 0.000
0.000 0.000 0.500
0.000 0.500 0.000
0.500 0.000 0.000
0.500 0.500 0.500
0.261 0.261 0.261
0.261 0.261 0.739
0.261 0.739 0.261
0.261 0.739 0.739
0.739 0.261 0.261
0.739 0.261 0.739
0.739 0.739 0.261
0.739 0.739 0.739
```



Zn2Hg4C | GGA-PBE | relaxed

Geometry as POSCAR:
```
Zn2Hg4C
1.0
-2.623 2.623 6.005
2.623 -2.623 6.005
2.623 2.623 -6.005
Zn Hg C
2 4 1
Direct
0.104 0.104 0.000
0.896 0.896 0.000
0.000 0.500 0.500
0.314 0.314 0.000
0.500 0.000 0.500
0.686 0.686 0.000
0.500 0.500 0.000
```



Zn4RhAu3 | GGA-PBE | relaxed

Geometry as POSCAR:
```
Zn4RhAu3
1.0
3.170 0.000 0.000
0.000 3.170 0.000
0.000 0.000 12.402
Zn Rh Au
4 1 3
Direct
0.000 0.000 0.112
0.000 0.000 0.371
0.000 0.000 0.629
0.000 0.000 0.888
0.500 0.500 0.000
0.500 0.500 0.241
0.500 0.500 0.500
0.500 0.500 0.759
```



Number 1: DFT formation energy 0.200 eV per atom. Number 2: DFT formation energy -0.311 eV per atom. Number 3: DFT formation energy 0.293 eV per atom. Number 4: DFT formation energy 0.276 eV per atom. Number 5: DFT formation energy 0.064 eV per atom. Number 6: DFT formation energy 0.518 eV per atom. Number 7: DFT formation energy 0.707 eV per atom. Number 8: DFT formation energy -0.266 eV per atom.